# Li4PaNi3O8 | the Alexandria database | PBE+U | optimized geometry
data_Li4PaNi3O8
_chemical_formula_sum 'Li4 Pa1 Ni3 O8'
_space_group_name_H-M_alt 'P 1'
_space_group_IT_number 1
_space_group_name_Hall 'P 1'
_cell_length_a 6.1254
_cell_length_b 6.1254
_cell_length_c 6.1254
_cell_angle_alpha 59.58
_cell_angle_beta 59.58
_cell_angle_gamma 59.58
loop_
_atom_site_label
_atom_site_fract_x
_atom_site_fract_y
_atom_site_fract_z
Li1 0.0000 0.0000 0.0000
Li2 0.0000 0.5000 0.5000
Li3 0.5000 0.0000 0.5000
Li4 0.5000 0.5000 0.0000
Pa1 0.5000 0.5000 0.5000
Ni1 0.0000 0.0000 0.5000
Ni2 0.0000 0.5000 0.0000
Ni3 0.5000 0.0000 0.0000
O1 0.2373 0.2373 0.2373
O2 0.2425 0.7514 0.7514
O3 0.2486 0.2486 0.7575
O4 0.2486 0.7575 0.2486
O5 0.7514 0.2425 0.7514
O6 0.7514 0.7514 0.2425
O7 0.7575 0.2486 0.2486
O8 0.7627 0.7627 0.7627
# Density of states at the Fermi level: 3.88 states/eV per cell
# Space-group type: R-3m
# Density: 5.8 g cm⁻³
# Crystal system: trigonal
# Total DFT energy (no corrections): -5.924 eV per atom